This record from Alexandria describes a relaxed structure of MnSiP2Cl. The functional is PBE.

Computed properties:
Electronic total energy   -24.45 eV per formula unit
Total magnetic moment   0.09 μB per atom
Energy above the most stable polymorph in this dataset   0.0 meV/atom

abc: 4.292 4.292 5.025
angles: 90.00 90.00 90.00
Space group P4/mmm (No. 123)
Symmetry-distinct sites (fractional):
Mn  0.000  0.000  0.000
Si  0.500  0.500  0.500
P  0.000  0.500  0.000
Cl  0.000  0.000  0.500


This record from Alexandria describes a relaxed structure of MnSiP2Cl. The functional is PBE.

Computed properties:
Electronic total energy   -24.33 eV per formula unit
Total magnetic moment   0.89 μB per atom
Energy above the most stable polymorph in this dataset   24.5 meV/atom

abc: 4.559 4.559 4.692
angles: 90.00 90.00 90.00
Space group P4/mmm (No. 123)
Symmetry-distinct sites (fractional):
Mn  0.000  0.000  0.000
Si  0.500  0.500  0.500
P  0.000  0.500  0.500
Cl  0.500  0.500  0.000


This record from Alexandria describes a relaxed structure of SrMnPCl2. The functional is PBE.

Computed properties:
Electronic total energy   -23.70 eV per formula unit
Total magnetic moment   0.01 μB per atom
Energy above the most stable polymorph in this dataset   0.0 meV/atom

abc: 4.895 4.895 4.422
angles: 90.00 90.00 90.00
Space group P4/mmm (No. 123)
Symmetry-distinct sites (fractional):
Sr  0.000  0.000  0.000
Mn  0.500  0.500  0.500
P  0.500  0.500  0.000
Cl  0.000  0.500  0.500


This record from Alexandria describes a relaxed structure of SrMnPCl2. The functional is PBE.

Computed properties:
Electronic total energy   -20.89 eV per formula unit
Total magnetic moment   0.78 μB per atom
Energy above the most stable polymorph in this dataset   562.0 meV/atom

abc: 5.439 5.439 6.180
angles: 90.00 90.00 90.00
Space group P4/mmm (No. 123)
Symmetry-distinct sites (fractional):
Sr  0.000  0.000  0.000
Mn  0.500  0.500  0.500
P  0.000  0.000  0.500
Cl  0.000  0.500  0.000